{
  "formula": "YCuPb",
  "functional": "PBE",
  "state": "optimized geometry",
  "cell": [[4.628, 0.000, 0.000], [-2.314, 4.008, 0.000], [0.000, 0.000, 7.405]],
  "species": ["Y", "Y", "Cu", "Cu", "Pb", "Pb"],
  "fractional_positions": [[0.000, 0.000, 0.000], [0.000, 0.000, 0.500], [0.333, 0.667, 0.326], [0.667, 0.333, 0.826], [0.333, 0.667, 0.730], [0.667, 0.333, 0.230]],
  "energy_ev_per_cell": -30.989,
  "rho_g_cm3": 8.7,
  "dos_ef_per_ev_cell": 0.8,
  "e_form_kj_per_mol_atoms": -39.4
}